Record 1
A plane-wave DFT calculation with PBE was carried out for a geometry-optimized CuWBr2 structure.

abc: 4.8458 4.8458 4.8458
angles: 60.00 60.00 60.00
With the nearest neighbours (Å) after each atom.
Element x y z (fractional)
Cu: 0.5000 0.5000 0.5000  4 W 2.97, 4 Br 2.97
Br: 0.0000 0.0000 0.0000  4 W 2.97, 4 Br 2.97
Br: 0.2500 0.2500 0.2500  4 Br 2.97, 4 Cu 2.97
W: 0.7500 0.7500 0.7500  4 Br 2.97, 4 Cu 2.97

Polymorph energy (0 for the lowest one) ... 4.74 eV/f.u.



Record 2
A plane-wave DFT calculation with PBE was carried out for a geometry-optimized PrLuCuOs structure.

abc: 4.9068 4.9068 4.9068
angles: 60.00 60.00 60.00
With the nearest neighbours (Å) after each atom.
Element x y z (fractional)
Cu: 0.2500 0.2500 0.2500  4 Pr 3.00, 4 Lu 3.00
Lu: 0.0000 0.0000 0.0000  4 Cu 3.00, 4 Os 3.00
Os: 0.7500 0.7500 0.7500  4 Pr 3.00, 4 Lu 3.00
Pr: 0.5000 0.5000 0.5000  4 Os 3.00, 4 Cu 3.00

Energy of formation ... -0.150 eV per atom



Record 3
A plane-wave DFT calculation with PBE was carried out for a geometry-optimized TmZnSi structure.

abc: 3.9637 4.0837 4.0837
angles: 120.00 90.00 90.00
With the nearest neighbours (Å) after each atom.
Element x y z (fractional)
Zn: 0.1666 0.3333 0.6667  3 Si 2.36
Si: 0.1667 0.0000 0.0000  3 Zn 2.36
Tm: 0.6667 0.6667 0.3333  6 Zn 3.08, 6 Si 3.08

VASP energy ... -4.31 eV/atom



Record 4
A plane-wave DFT calculation with PBE was carried out for a geometry-optimized Cs2KNb structure.

abc: 6.5968 6.5968 6.5968
angles: 60.00 60.00 60.00
With the nearest neighbours (Å) after each atom.
Element x y z (fractional)
K: 0.0000 0.0000 0.0000  8 Cs 4.04
Cs: 0.7500 0.7500 0.7500  4 Nb 4.04, 4 K 4.04
Cs: 0.2500 0.2500 0.2500  4 Nb 4.04, 4 K 4.04
Nb: 0.5000 0.5000 0.5000  8 Cs 4.04

Energy of formation ... 1.193 eV per atom



Record 5
A plane-wave DFT calculation with PBE was carried out for a geometry-optimized LiAs2HBr structure.

abc: 3.8257 3.8257 8.2415
angles: 90.00 90.00 90.00
With the nearest neighbours (Å) after each atom.
Element x y z (fractional)
As: 0.0000 0.5000 0.0000  2 H 1.91
As: 0.5000 0.0000 0.0000  2 H 1.91
Li: 0.5000 0.5000 0.5000  4 Br 2.71
Br: 0.0000 0.0000 0.5000  4 Li 2.71
H: 0.0000 0.0000 0.0000  4 As 1.91

Polymorph energy (0 for the lowest one) ... 0.00 eV/f.u.



Record 6
A plane-wave DFT calculation with PBE was carried out for a geometry-optimized TbCePr6 structure.

abc: 6.3524 6.3524 8.2305
angles: 105.02 105.02 109.17
With the nearest neighbours (Å) after each atom.
Element x y z (fractional)
Pr: 0.6212 0.1212 0.2425  8 Pr 3.57-3.79, 2 Ce 3.64, 2 Tb 3.64
Pr: 0.7521 0.7520 0.5041  1 Ce 3.65, 10 Pr 3.68-3.71, 1 Tb 3.71
Pr: 0.1213 0.6212 0.2425  8 Pr 3.57-3.79, 2 Ce 3.64, 2 Tb 3.64
Pr: 0.8787 0.3788 0.7575  8 Pr 3.57-3.79, 2 Ce 3.64, 2 Tb 3.64
Pr: 0.3788 0.8788 0.7575  8 Pr 3.57-3.79, 2 Ce 3.64, 2 Tb 3.64
Pr: 0.2479 0.2480 0.4959  1 Ce 3.65, 10 Pr 3.68-3.71, 1 Tb 3.71
Ce: 0.0000 0.0000 0.0000  10 Pr 3.64-3.65, 2 Tb 3.68
Tb: 0.5000 0.5000 0.0000  10 Pr 3.64-3.71, 2 Ce 3.68

Energy of formation ... 0.049 eV per atom



Record 7
A plane-wave DFT calculation with PBE was carried out for a geometry-optimized NbZnPt structure.

abc: 2.8844 2.8844 11.4256
angles: 90.00 90.00 90.00
With the nearest neighbours (Å) after each atom.
Element x y z (fractional)
Pt: 0.0000 0.0000 0.6902  4 Zn 2.70, 4 Nb 2.83, 4 Pt 2.88
Pt: 0.5000 0.5000 0.1902  4 Zn 2.70, 4 Nb 2.83, 4 Pt 2.88
Zn: 0.5000 0.5000 0.5354  4 Pt 2.70, 4 Nb 2.84, 4 Zn 2.88
Zn: 0.0000 0.0000 0.0354  4 Pt 2.70, 4 Nb 2.84, 4 Zn 2.88
Nb: 0.0000 0.0000 0.3618  4 Pt 2.83, 4 Zn 2.84, 4 Nb 2.88
Nb: 0.5000 0.5000 0.8618  4 Pt 2.83, 4 Zn 2.84, 4 Nb 2.88

Energy of formation ... -0.422 eV per atom



Record 8
A plane-wave DFT calculation with PBE was carried out for a geometry-optimized UHgSb2 structure.

abc: 4.5727 4.5727 7.1380
angles: 71.32 71.32 60.00
With the nearest neighbours (Å) after each atom.
Element x y z (fractional)
U: 0.6662 0.6662 0.0014  6 Sb 3.04-3.07, 1 Hg 3.34
Sb: 0.0784 0.0784 0.7649  3 U 3.07, 3 Hg 3.15
Sb: 0.2571 0.2571 0.2287  3 U 3.04, 3 Hg 3.21
Hg: 0.4984 0.4984 0.5049  6 Sb 3.15-3.21, 1 U 3.34

Polymorph energy (0 for the lowest one) ... 1.10 eV/f.u.